Entry 1:
Ca2Mg2Cl7 after structural relaxation, computed with PBE.

Summary:
ΔE_f (raw) = -1886 meV per atom
Magnetization = 1.00 Bohr magnetons per cell

a = 7.296 Å, b = 6.868 Å, c = 6.868 Å
α = 108.44°, β = 95.33°, γ = 95.33°
Last column: magnetic moment on the atom in μB.
Sites, in units of the cell vectors:
1 Cl 0.725 0.076 0.428  0.01
2 Cl 0.725 0.428 0.076  0.01
3 Cl 0.305 0.351 0.351  0.04
4 Cl 0.000 0.000 0.000  0.01
5 Cl 0.275 0.572 0.924  0.01
6 Cl 0.695 0.649 0.649  0.04
7 Cl 0.275 0.924 0.572  0.01
8 Mg 0.051 0.711 0.711  0.07
9 Mg 0.949 0.289 0.289  0.07
10 Ca 0.500 0.692 0.308  0.01
11 Ca 0.500 0.308 0.692  0.01

***

Entry 2:
TiSn2Pb2 after structural relaxation, computed with PBE.

Summary:
E_form = 181 meV per atom
Magnetization = 0.00 Bohr magnetons per cell

a = 7.460 Å, b = 7.460 Å, c = 4.960 Å
α = 90.00°, β = 90.00°, γ = 90.00°
Sites, in units of the cell vectors:
1 Ti 0.500 0.500 0.000
2 Ti 0.000 0.000 0.000
3 Pb 0.170 0.670 0.500
4 Pb 0.670 0.830 0.500
5 Pb 0.830 0.330 0.500
6 Pb 0.330 0.170 0.500
7 Sn 0.356 0.856 0.000
8 Sn 0.144 0.356 0.000
9 Sn 0.856 0.644 0.000
10 Sn 0.644 0.144 0.000

***

Entry 3:
Be4CuPd3 after structural relaxation, computed with PBE.

Summary:
E_form = -448 meV per atom
Magnetization = 0.00 Bohr magnetons per cell

a = 2.791 Å, b = 3.971 Å, c = 7.982 Å
α = 90.00°, β = 90.00°, γ = 90.00°
Sites, in units of the cell vectors:
1 Be 0.000 0.500 0.246
2 Be 0.000 0.500 0.754
3 Be 0.000 0.000 0.000
4 Be 0.000 0.000 0.500
5 Cu 0.500 0.500 0.000
6 Pd 0.500 0.000 0.757
7 Pd 0.500 0.000 0.243
8 Pd 0.500 0.500 0.500

***

- Number 3 is which compound?
  Be4CuPd3

***

- Number 3 is which compound?
  Be4CuPd3

***

- Look up the magnetization of the second one.
  0.00 Bohr magnetons per cell

***

- What is the magnetization in the second record?
  0.00 Bohr magnetons per cell